No. 1
Compound: K2BeIr
Source: the Alexandria database
Functional: PBE
Structure: optimized geometry

```
data_K2BeIr
_chemical_formula_sum 'K2 Be1 Ir1'
_symmetry_space_group_name_H-M 'P 1'
_symmetry_Int_Tables_number 1
_cell_length_a 3.226
_cell_length_b 3.226
_cell_length_c 9.890
_cell_angle_alpha 90.00
_cell_angle_beta 90.00
_cell_angle_gamma 90.00
loop_
_symmetry_equiv_pos_as_xyz
'x,y,z'
loop_
_atom_site_label
_atom_site_type_symbol
_atom_site_fract_x
_atom_site_fract_y
_atom_site_fract_z
K1 K 0.000 0.000 0.000
K2 K 0.500 0.500 0.431
Be1 Be 0.000 0.000 0.706
Ir1 Ir 0.500 0.500 0.736
```


No. 2
Compound: K2BeIr
Source: the Alexandria database
Functional: PBE
Structure: optimized geometry

```
data_K2BeIr
_chemical_formula_sum 'K2 Be1 Ir1'
_symmetry_space_group_name_H-M 'P 1'
_symmetry_Int_Tables_number 1
_cell_length_a 2.871
_cell_length_b 2.871
_cell_length_c 10.916
_cell_angle_alpha 90.00
_cell_angle_beta 90.00
_cell_angle_gamma 90.00
loop_
_symmetry_equiv_pos_as_xyz
'x,y,z'
loop_
_atom_site_label
_atom_site_type_symbol
_atom_site_fract_x
_atom_site_fract_y
_atom_site_fract_z
K1 K 0.000 0.000 0.235
K2 K 0.000 0.000 0.765
Be1 Be 0.500 0.500 0.500
Ir1 Ir 0.500 0.500 0.000
```


No. 3
# KBeIr, optimized geometry, DFT PBE
# Relative energy among the computed polymorphs, meV/atom: 324
data_KBeIr
_chemical_formula_sum 'K1 Be1 Ir1'
_symmetry_space_group_name_H-M 'P 1'
_symmetry_Int_Tables_number 1
_cell_length_a 3.751
_cell_length_b 3.751
_cell_length_c 5.403
_cell_angle_alpha 90.00
_cell_angle_beta 90.00
_cell_angle_gamma 120.00
loop_
_symmetry_equiv_pos_as_xyz
'x,y,z'
loop_
_atom_site_label
_atom_site_type_symbol
_atom_site_fract_x
_atom_site_fract_y
_atom_site_fract_z
K1 K 0.000 0.000 0.000
Be1 Be 0.667 0.333 0.488
Ir1 Ir 0.333 0.667 0.505


No. 4
# KBeIr, optimized geometry, DFT PBE
# Relative energy among the computed polymorphs, meV/atom: 2186
data_KBeIr
_chemical_formula_sum 'K1 Be1 Ir1'
_symmetry_space_group_name_H-M 'P 1'
_symmetry_Int_Tables_number 1
_cell_length_a 4.619
_cell_length_b 4.619
_cell_length_c 4.619
_cell_angle_alpha 60.00
_cell_angle_beta 60.00
_cell_angle_gamma 60.00
loop_
_symmetry_equiv_pos_as_xyz
'x,y,z'
loop_
_atom_site_label
_atom_site_type_symbol
_atom_site_fract_x
_atom_site_fract_y
_atom_site_fract_z
K1 K 0.000 0.000 0.000
Be1 Be 0.750 0.750 0.750
Ir1 Ir 0.250 0.250 0.250


Sequential energy of formation from the pure elements output: 0.20, 1.11, 0.40, 2.26 eV/atom
Sequential DFT total energy output: -3.496, -2.582, -4.166, -2.303 eV per atom
Sequential D(E_F) output: 1.14, 3.16, 1.99, 6.98 states/eV per cell